(1)
DFT (PBEsol) results for Rb2SnSO after structural relaxation.

Cell lengths 6.738, 6.738, 3.526 Å; angles 90.00, 90.00, 90.00 degrees
Element x y z (fractional)
Rb  0.000  0.500  0.000
Rb  0.500  0.000  0.000
Sn  0.000  0.000  0.500
S  0.500  0.500  0.000
O  0.500  0.500  0.500

Total magnetic moment = 0.000 μB per atom
D(E_F) = 0.68 states/eV per atom
ΔE_f (raw) = -101 kJ/mol of formula units

(2)
DFT (PBEsol) results for LiCd2Ag after structural relaxation.

Cell lengths 4.994, 4.994, 5.171 Å; angles 98.71, 98.71, 34.62 degrees
Element x y z (fractional)
Li  0.000  0.000  0.000
Cd  0.246  0.246  0.750
Cd  0.754  0.754  0.250
Ag  0.500  0.500  0.500

Total magnetic moment = 0.000 μB per atom
D(E_F) = 0.29 states/eV per atom
Excess energy over the best structure of this formula in the dataset = 0.068 eV/atom